[1]
! PrEuAg2 | Alexandria via LeMat-Bulk | PBEsol | relaxed; values from VASP
&SYSTEM
  ibrav = 0, nat = 4, ntyp = 3
/
ATOMIC_SPECIES
Eu 151.96 Eu.upf
Pr 140.91 Pr.upf
Ag 107.87 Ag.upf
ATOMIC_POSITIONS angstrom
Eu 0.000 0.000 0.000
Pr 5.235 3.022 2.137
Ag 2.617 1.511 1.069
Ag 7.852 4.533 3.206
CELL_PARAMETERS angstrom
5.235 0.000 0.000
2.617 4.533 0.000
2.617 1.511 4.274
! Energy of formation from the pure elements = -0.253 eV per atom
! Size of the total moment = 7.15 Bohr magnetons per cell
! Electronic total energy = -5.846 eV/atom

***

[2]
! Na2VF5 | Alexandria via LeMat-Bulk | PBEsol | relaxed; values from VASP
&SYSTEM
  ibrav = 0, nat = 32, ntyp = 3
/
ATOMIC_SPECIES
Na 22.99 Na.upf
V 50.94 V.upf
F 19.00 F.upf
ATOMIC_POSITIONS angstrom
Na 2.985 1.945 1.916
Na 0.338 3.765 3.278
Na 2.308 2.093 8.505
Na 4.955 0.274 7.142
Na 0.029 -0.090 3.825
Na 2.675 5.800 1.369
Na 5.264 4.129 6.596
Na 2.618 -1.761 9.051
V 0.000 3.691 -0.016
V 2.647 2.019 5.210
V 0.000 0.000 0.000
V 2.647 -1.671 5.227
F 3.911 0.617 9.146
F 1.264 1.750 6.501
F 1.382 3.422 1.275
F 4.029 2.289 3.920
F 4.140 4.062 1.458
F 1.493 1.648 3.737
F 1.153 -0.023 8.963
F 3.800 2.391 6.684
F 4.564 1.842 0.025
F 1.918 3.868 5.170
F 0.729 2.197 10.396
F 3.375 0.171 5.251
F 3.470 -1.836 6.963
F 0.823 4.203 8.684
F 1.824 5.875 3.457
F 4.470 -0.165 1.737
F 4.293 5.181 4.403
F 1.647 0.529 0.791
F 1.000 -1.142 6.018
F 3.646 3.510 9.630
CELL_PARAMETERS angstrom
5.293 0.000 0.000
0.000 7.381 -0.033
0.000 -3.342 10.453
! Size of the total moment = 8.00 Bohr magnetons per cell
! Electronic total energy = -5.597 eV/atom
! Energy relative to the elements, uncorrected = -2.84 eV per atom

***

[3]
! Ta2MoPb | Alexandria via LeMat-Bulk | PBEsol | relaxed; values from VASP
&SYSTEM
  ibrav = 0, nat = 4, ntyp = 3
/
ATOMIC_SPECIES
Mo 95.94 Mo.upf
Pb 207.20 Pb.upf
Ta 180.95 Ta.upf
ATOMIC_POSITIONS angstrom
Mo 0.000 0.030 4.467
Pb 0.000 2.317 2.231
Ta 0.000 0.000 0.106
Ta 1.716 0.017 2.360
CELL_PARAMETERS angstrom
3.431 0.000 0.000
0.000 4.600 -0.040
-1.716 -2.268 4.612
! Energy of formation from the pure elements = 0.288 eV per atom
! Size of the total moment = 0.00 Bohr magnetons per cell
! Electronic total energy = -9.929 eV/atom

***

[4]
! CaInCu4 | Alexandria via LeMat-Bulk | PBEsol | relaxed; values from VASP
&SYSTEM
  ibrav = 0, nat = 6, ntyp = 3
/
ATOMIC_SPECIES
Ca 40.08 Ca.upf
Cu 63.55 Cu.upf
In 114.82 In.upf
ATOMIC_POSITIONS angstrom
Ca 0.000 0.000 0.000
Cu -4.193 -0.927 -1.760
Cu -6.659 -0.621 -1.440
Cu -5.687 -0.634 -3.749
Cu -5.778 -2.753 -2.416
In -8.369 -1.851 -3.512
CELL_PARAMETERS angstrom
-3.007 0.590 -4.004
-3.190 -3.675 -1.321
-4.963 0.617 0.643
! Energy of formation from the pure elements = -0.178 eV per atom
! Size of the total moment = 0.00 Bohr magnetons per cell
! Electronic total energy = -3.920 eV/atom

***

[5]
! CsFe2B2 | Alexandria via LeMat-Bulk | PBEsol | relaxed; values from VASP
&SYSTEM
  ibrav = 0, nat = 5, ntyp = 3
/
ATOMIC_SPECIES
Cs 132.91 Cs.upf
B 10.81 B.upf
Fe 55.84 Fe.upf
ATOMIC_POSITIONS angstrom
Cs 0.000 0.000 0.000
B 0.078 -3.649 0.138
B -1.767 -2.618 1.833
Fe 0.147 -2.606 1.744
Fe -1.836 -3.661 0.227
CELL_PARAMETERS angstrom
-3.825 -0.074 0.211
-0.134 -2.134 -3.179
2.270 -4.059 4.938
! Energy of formation from the pure elements = 0.280 eV per atom
! Size of the total moment = 1.40 Bohr magnetons per cell
! Electronic total energy = -6.301 eV/atom

***

[6]
! ScTcOs2 | Alexandria via LeMat-Bulk | PBEsol | relaxed; values from VASP
&SYSTEM
  ibrav = 0, nat = 4, ntyp = 3
/
ATOMIC_SPECIES
Os 190.23 Os.upf
Sc 44.96 Sc.upf
Tc 98.00 Tc.upf
ATOMIC_POSITIONS angstrom
Os 1.553 -2.025 5.171
Os -0.483 -2.585 0.588
Sc 0.771 -1.005 2.568
Tc 0.374 -3.702 3.440
CELL_PARAMETERS angstrom
-2.598 -0.925 0.418
0.930 -3.329 -1.583
1.554 -2.025 5.173
! Energy of formation from the pure elements = 0.119 eV per atom
! Size of the total moment = 0.00 Bohr magnetons per cell
! Electronic total energy = -10.456 eV/atom
! Energy above the most stable polymorph in this dataset = 0.004 eV per atom